No. 1
This record from Alexandria via LeMat-Bulk describes a geometry-optimized Pr8CdGa2 structure. The functional is PBE.

Values from the calculation:
- SG: C2/m, No. 12
- Density of states at the Fermi level: 13.358 states/eV per cell
- Calculated total energy: -47.76 eV/cell
- Calculated formation energy: -232 meV per atom

abc: 4.996 8.026 9.333
angles: 108.30 105.52 90.00
Positions (direct):
Pr  0.404  0.542  0.808
Pr  0.674  0.944  0.347
Ga  0.205  0.681  0.411
Pr  0.042  0.745  0.085
Pr  0.326  0.056  0.653
Pr  0.596  0.458  0.192
Cd  0.500  0.000  0.000
Pr  0.819  0.723  0.637
Pr  0.958  0.255  0.915
Pr  0.181  0.277  0.363
Ga  0.795  0.319  0.589


No. 2
This record from Alexandria via LeMat-Bulk describes a geometry-optimized LaPm2ErAs4 structure. The functional is PBE.

Values from the calculation:
- SG: P2/m, No. 10
- Density of states at the Fermi level: 0.734 states/eV per cell
- Calculated total energy: -49.75 eV/cell
- Calculated formation energy: -1520 meV per atom

abc: 4.240 7.338 7.332
angles: 70.58 90.00 90.00
Positions (direct):
Er  0.000  0.500  0.500
Pm  0.000  0.000  0.000
Pm  0.500  0.000  0.500
La  0.500  0.500  0.000
As  0.500  0.254  0.742
As  0.000  0.249  0.257
As  0.000  0.751  0.743
As  0.500  0.746  0.258


No. 3
This record from Alexandria via LeMat-Bulk describes a geometry-optimized NbTcRu3 structure. The functional is PBE.

Values from the calculation:
- Distance to the lowest polymorph of the same formula: 0.000 eV/atom
- SG: P2_1/m, No. 11
- Density of states at the Fermi level: 8.021 states/eV per cell
- Calculated total energy: -95.35 eV/cell
- Calculated formation energy: 118 meV per atom

abc: 4.413 5.473 6.706
angles: 89.99 109.17 89.99
Positions (direct):
Ru  0.122  0.750  0.746
Nb  0.499  0.750  0.503
Nb  0.501  0.250  0.497
Ru  0.305  0.000  0.111
Tc  0.876  0.750  0.255
Ru  0.305  0.500  0.111
Ru  0.695  0.500  0.889
Ru  0.878  0.250  0.254
Tc  0.124  0.250  0.745
Ru  0.695  0.000  0.889


No. 4
This record from Alexandria via LeMat-Bulk describes a geometry-optimized PrCd23Hg6 structure. The functional is PBE.

Values from the calculation:
- SG: Fm-3m, No. 225
- Density of states at the Fermi level: 14.935 states/eV per cell
- Calculated total energy: -27.52 eV/cell
- Calculated formation energy: 4 meV per atom

abc: 10.078 10.078 10.078
angles: 60.00 60.00 60.00
Positions (direct):
Cd  0.372  0.876  0.876
Hg  0.271  0.729  0.729
Hg  0.729  0.271  0.271
Cd  0.349  0.952  0.349
Hg  0.729  0.271  0.729
Cd  0.651  0.651  0.651
Cd  0.000  0.000  0.000
Cd  0.349  0.349  0.952
Cd  0.048  0.651  0.651
Cd  0.124  0.124  0.124
Hg  0.271  0.729  0.271
Cd  0.349  0.349  0.349
Cd  0.500  0.000  0.500
Hg  0.729  0.729  0.271
Pr  0.500  0.500  0.500
Cd  0.876  0.372  0.876
Cd  0.500  0.000  0.000
Cd  0.000  0.500  0.000
Cd  0.124  0.124  0.628
Cd  0.500  0.500  0.000
Cd  0.651  0.651  0.048
Cd  0.876  0.876  0.372
Hg  0.271  0.271  0.729
Cd  0.124  0.628  0.124
Cd  0.000  0.000  0.500
Cd  0.876  0.876  0.876
Cd  0.000  0.500  0.500
Cd  0.952  0.349  0.349
Cd  0.628  0.124  0.124
Cd  0.651  0.048  0.651


No. 5
This record from Alexandria via LeMat-Bulk describes a geometry-optimized SrAlICl4 structure. The functional is PBE.

Values from the calculation:
- SG: C2/m, No. 12
- Density of states at the Fermi level: 0.000 states/eV per cell
- Calculated total energy: -52.87 eV/cell

abc: 7.790 7.790 8.636
angles: 79.08 79.08 75.51
Positions (direct):
I  0.973  0.973  0.770
Cl  0.493  0.845  0.881
Cl  0.845  0.493  0.881
Cl  0.507  0.155  0.119
Cl  0.155  0.507  0.119
Cl  0.461  0.461  0.727
Sr  0.200  0.200  0.889
Cl  0.743  0.743  0.505
Al  0.633  0.633  0.736
Cl  0.539  0.539  0.273
Al  0.367  0.367  0.264
I  0.027  0.027  0.230
Cl  0.257  0.257  0.495
Sr  0.800  0.800  0.111


No. 6
This record from Alexandria via LeMat-Bulk describes a geometry-optimized SnH22C6N2Cl4 structure. The functional is PBE.

Values from the calculation:
- SG: P-1, No. 2
- Density of states at the Fermi level: 0.000 states/eV per cell
- Calculated total energy: -169.95 eV/cell

abc: 6.861 7.360 8.781
angles: 109.98 99.62 93.84
Positions (direct):
H  0.876  0.636  0.502
H  0.275  0.703  0.204
H  0.266  0.470  0.707
H  0.291  0.965  0.011
H  0.709  0.035  0.989
H  0.931  0.091  0.643
H  0.725  0.297  0.796
H  0.069  0.909  0.357
N  0.266  0.839  0.191
Cl  0.270  0.412  0.198
N  0.734  0.161  0.809
H  0.614  0.063  0.725
H  0.424  0.760  0.995
H  0.071  0.054  0.228
Sn  0.500  0.500  0.500
H  0.844  0.276  0.068
H  0.702  0.772  0.422
H  0.929  0.946  0.772
H  0.049  0.194  0.859
Cl  0.641  0.160  0.394
C  0.735  0.627  0.419
Cl  0.359  0.840  0.606
H  0.734  0.530  0.293
H  0.124  0.364  0.498
Cl  0.730  0.588  0.802
H  0.386  0.937  0.275
C  0.714  0.180  0.980
H  0.951  0.806  0.141
C  0.286  0.820  0.020
H  0.576  0.240  0.005
H  0.298  0.228  0.578
C  0.265  0.373  0.581
C  0.925  0.093  0.768
H  0.156  0.724  0.932
C  0.075  0.907  0.232